The following is a DFT calculation (PBE) of an optimized crystal structure of ZrGeP3. Values from VASP.

Energy of formation (eV/atom): 0.584
Symmetry: No. 221
Fermi-level density of states (states/eV/f.u.): 3.76

```
&SYSTEM
  ibrav = 0, nat = 5, ntyp = 3
/
ATOMIC_SPECIES
P 30.97 P.upf
Zr 91.22 Zr.upf
Ge 72.64 Ge.upf
CELL_PARAMETERS angstrom
-1.798 4.260 -0.184
-3.410 -1.317 2.837
2.559 1.238 3.651
ATOMIC_POSITIONS angstrom
P 1.280 0.619 1.826
Zr -1.325 2.091 3.152
P -0.899 2.130 -0.092
Ge 0.000 0.000 0.000
P -1.705 -0.658 1.419
```